--- P ---
Here is a geometry-optimized EuGdRu structure from Alexandria. Energies are from PBE.

The structure belongs to space group F-43m (No. 216); the cell edges are 6.871, 6.871 and 6.871 Å and the angles 90.00°, 90.00° and 90.00°. The asymmetric unit holds Eu at (0.000, 0.000, 0.000), Gd at (0.000, 0.000, 0.500) and Ru at (0.250, 0.250, 0.750).

The total magnetization is 0.078 μB/atom. Its density of states at the Fermi level is 36.73 states/eV/cell.



--- Q ---
Here is a geometry-optimized EuGdRu structure from Alexandria. Energies are from PBE.

The structure belongs to space group I4mm (No. 107); the cell edges are 3.486, 3.486 and 13.070 Å and the angles 90.00°, 90.00° and 90.00°. The asymmetric unit holds Eu at (0.000, 0.000, 0.000), Gd at (0.000, 0.000, 0.257) and Ru at (0.000, 0.000, 0.642).

The total magnetization is 4.765 μB/atom. Its density of states at the Fermi level is 15.22 states/eV/cell.



Preferred: Q; penalty for the next structure: 0.127 eV/atom.



--- P ---
Here is a geometry-optimized EuGd2Sb structure from Alexandria. Energies are from PBE.

The structure belongs to space group P4/mmm (No. 123); the cell edges are 4.912, 4.912 and 4.867 Å and the angles 90.00°, 90.00° and 90.00°. The asymmetric unit holds Eu at (0.000, 0.000, 0.000), Gd at (0.000, 0.500, 0.500) and Sb at (0.500, 0.500, 0.000).

The total magnetization is 5.721 μB/atom. Its density of states at the Fermi level is 6.15 states/eV/cell.



--- Q ---
Here is a geometry-optimized EuGd2Sb structure from Alexandria. Energies are from PBE.

The structure belongs to space group Fm-3m (No. 225); the cell edges are 7.737, 7.737 and 7.737 Å and the angles 90.00°, 90.00° and 90.00°. The asymmetric unit holds Eu at (0.000, 0.000, 0.000), Gd at (0.250, 0.250, 0.250) and Sb at (0.000, 0.000, 0.500).

The total magnetization is 1.936 μB/atom. Its density of states at the Fermi level is 14.23 states/eV/cell.



Preferred: P; penalty for the next structure: 0.189 eV/atom.